one) Density functional theory data (PBE-GGA) for a relaxed structure of Rb2BiAuCl6.

Unit cell a=10.7947 b=10.7947 c=10.7947 alpha=90.00 beta=90.00 gamma=90.00
Space group Fm-3m (No. 225)
One atom of each set of equivalent atoms:
1 Rb 0.2500 0.2500 0.2500 [8 per cell]
2 Bi 0.0000 0.0000 0.0000 [4 per cell]
3 Au 0.0000 0.0000 0.5000 [4 per cell]
4 Cl 0.0000 0.0000 0.2519 [24 per cell]

two) Density functional theory data (PBE-GGA) for a relaxed structure of Rb2BiAuCl6.

Unit cell a=7.3836 b=7.3836 c=11.2582 alpha=90.00 beta=90.00 gamma=90.00
Space group I4/m (No. 87)
One atom of each set of equivalent atoms:
1 Rb 0.0000 0.5000 0.2500 [4 per cell]
2 Bi 0.0000 0.0000 0.0000 [2 per cell]
3 Au 0.0000 0.0000 0.5000 [2 per cell]
4 Cl 0.0000 0.0000 0.2422 [4 per cell]
5 Cl 0.1829 0.3084 0.5000 [8 per cell]

The computed energies, referenced to the most stable structure and given in meV/atom, are one) 13; two) 0.

one) Density functional theory data (PBE-GGA) for a relaxed structure of LaCoBiAu.

Unit cell a=7.2135 b=7.2135 c=7.2135 alpha=90.00 beta=90.00 gamma=90.00
Space group F-43m (No. 216)
One atom of each set of equivalent atoms:
1 La 0.0000 0.0000 0.0000 [4 per cell]
2 Co 0.0000 0.0000 0.5000 [4 per cell]
3 Bi 0.2500 0.2500 0.2500 [4 per cell]
4 Au 0.2500 0.2500 0.7500 [4 per cell]

The magnetization comes out at 7.01 μB/cell.

two) Density functional theory data (PBE-GGA) for a relaxed structure of LaCoBiAu.

Unit cell a=7.1490 b=7.1490 c=7.1490 alpha=90.00 beta=90.00 gamma=90.00
Space group F-43m (No. 216)
One atom of each set of equivalent atoms:
1 La 0.0000 0.0000 0.0000 [4 per cell]
2 Co 0.2500 0.2500 0.2500 [4 per cell]
3 Bi 0.0000 0.0000 0.5000 [4 per cell]
4 Au 0.2500 0.2500 0.7500 [4 per cell]

The magnetization comes out at 5.41 μB/cell.

three) Density functional theory data (PBE-GGA) for a relaxed structure of LaCoBiAu.

Unit cell a=7.2279 b=7.2279 c=7.2279 alpha=90.00 beta=90.00 gamma=90.00
Space group F-43m (No. 216)
One atom of each set of equivalent atoms:
1 La 0.0000 0.0000 0.0000 [4 per cell]
2 Co 0.2500 0.2500 0.2500 [4 per cell]
3 Bi 0.2500 0.2500 0.7500 [4 per cell]
4 Au 0.0000 0.0000 0.5000 [4 per cell]

The magnetization comes out at 6.32 μB/cell.

The computed energies, referenced to the most stable structure and given in meV/atom, are one) 89; two) 0; three) 251.

one) Density functional theory data (PBE-GGA) for a relaxed structure of CoReBiAu.

Unit cell a=6.4990 b=6.4990 c=6.4990 alpha=90.00 beta=90.00 gamma=90.00
Space group F-43m (No. 216)
One atom of each set of equivalent atoms:
1 Co 0.0000 0.0000 0.0000 [4 per cell]
2 Re 0.0000 0.0000 0.5000 [4 per cell]
3 Bi 0.2500 0.2500 0.7500 [4 per cell]
4 Au 0.2500 0.2500 0.2500 [4 per cell]

The magnetization comes out at 4.60 μB/cell.

two) Density functional theory data (PBE-GGA) for a relaxed structure of CoReBiAu.

Unit cell a=6.6156 b=6.6156 c=6.6156 alpha=90.00 beta=90.00 gamma=90.00
Space group F-43m (No. 216)
One atom of each set of equivalent atoms:
1 Co 0.0000 0.0000 0.0000 [4 per cell]
2 Re 0.2500 0.2500 0.2500 [4 per cell]
3 Bi 0.2500 0.2500 0.7500 [4 per cell]
4 Au 0.0000 0.0000 0.5000 [4 per cell]

The magnetization comes out at 12.09 μB/cell.

The computed energies, referenced to the most stable structure and given in meV/atom, are one) 0; two) 177.

one) Density functional theory data (PBE-GGA) for a relaxed structure of YCoBiAu.

Unit cell a=7.0151 b=7.0151 c=7.0151 alpha=90.00 beta=90.00 gamma=90.00
Space group F-43m (No. 216)
One atom of each set of equivalent atoms:
1 Y 0.0000 0.0000 0.0000 [4 per cell]
2 Co 0.2500 0.2500 0.2500 [4 per cell]
3 Bi 0.2500 0.2500 0.7500 [4 per cell]
4 Au 0.0000 0.0000 0.5000 [4 per cell]

The magnetization comes out at 5.75 μB/cell.

two) Density functional theory data (PBE-GGA) for a relaxed structure of YCoBiAu.

Unit cell a=6.9189 b=6.9189 c=6.9189 alpha=90.00 beta=90.00 gamma=90.00
Space group F-43m (No. 216)
One atom of each set of equivalent atoms:
1 Y 0.0000 0.0000 0.0000 [4 per cell]
2 Co 0.0000 0.0000 0.5000 [4 per cell]
3 Bi 0.2500 0.2500 0.2500 [4 per cell]
4 Au 0.2500 0.2500 0.7500 [4 per cell]

The magnetization comes out at 4.92 μB/cell.

The computed energies, referenced to the most stable structure and given in meV/atom, are one) 188; two) 0.

one) Density functional theory data (PBE-GGA) for a relaxed structure of CsBiAu.

Unit cell a=7.8798 b=7.8798 c=7.8798 alpha=90.00 beta=90.00 gamma=90.00
Space group F-43m (No. 216)
One atom of each set of equivalent atoms:
1 Cs 0.0000 0.0000 0.0000 [4 per cell]
2 Bi 0.2500 0.2500 0.7500 [4 per cell]
3 Au 0.0000 0.0000 0.5000 [4 per cell]

two) Density functional theory data (PBE-GGA) for a relaxed structure of CsBiAu.

Unit cell a=8.1327 b=8.1327 c=8.1327 alpha=90.00 beta=90.00 gamma=90.00
Space group F-43m (No. 216)
One atom of each set of equivalent atoms:
1 Cs 0.0000 0.0000 0.0000 [4 per cell]
2 Bi 0.2500 0.2500 0.2500 [4 per cell]
3 Au 0.2500 0.2500 0.7500 [4 per cell]

The computed energies, referenced to the most stable structure and given in meV/atom, are one) 0; two) 415.

one) Density functional theory data (PBE-GGA) for a relaxed structure of LuCuBiAu.

Unit cell a=7.0001 b=7.0001 c=7.0001 alpha=90.00 beta=90.00 gamma=90.00
Space group F-43m (No. 216)
One atom of each set of equivalent atoms:
1 Lu 0.0000 0.0000 0.0000 [4 per cell]
2 Cu 0.0000 0.0000 0.5000 [4 per cell]
3 Bi 0.2500 0.2500 0.2500 [4 per cell]
4 Au 0.2500 0.2500 0.7500 [4 per cell]

The magnetization comes out at 0.00 μB/cell.

two) Density functional theory data (PBE-GGA) for a relaxed structure of LuCuBiAu.

Unit cell a=6.9994 b=6.9994 c=6.9994 alpha=90.00 beta=90.00 gamma=90.00
Space group F-43m (No. 216)
One atom of each set of equivalent atoms:
1 Lu 0.0000 0.0000 0.0000 [4 per cell]
2 Cu 0.2500 0.2500 0.7500 [4 per cell]
3 Bi 0.0000 0.0000 0.5000 [4 per cell]
4 Au 0.2500 0.2500 0.2500 [4 per cell]

The magnetization comes out at 0.00 μB/cell.

The computed energies, referenced to the most stable structure and given in meV/atom, are one) 20; two) 0.

one) Density functional theory data (PBE-GGA) for a relaxed structure of NaCuBiAu.

Unit cell a=6.8368 b=6.8368 c=6.8368 alpha=90.00 beta=90.00 gamma=90.00
Space group F-43m (No. 216)
One atom of each set of equivalent atoms:
1 Na 0.0000 0.0000 0.0000 [4 per cell]
2 Cu 0.0000 0.0000 0.5000 [4 per cell]
3 Bi 0.2500 0.2500 0.2500 [4 per cell]
4 Au 0.2500 0.2500 0.7500 [4 per cell]

two) Density functional theory data (PBE-GGA) for a relaxed structure of NaCuBiAu.

Unit cell a=6.9458 b=6.9458 c=6.9458 alpha=90.00 beta=90.00 gamma=90.00
Space group F-43m (No. 216)
One atom of each set of equivalent atoms:
1 Na 0.0000 0.0000 0.0000 [4 per cell]
2 Cu 0.2500 0.2500 0.2500 [4 per cell]
3 Bi 0.0000 0.0000 0.5000 [4 per cell]
4 Au 0.2500 0.2500 0.7500 [4 per cell]

The computed energies, referenced to the most stable structure and given in meV/atom, are one) 41; two) 0.

one) Density functional theory data (PBE-GGA) for a relaxed structure of RbCuBiAu.

Unit cell a=7.4018 b=7.4018 c=7.4018 alpha=90.00 beta=90.00 gamma=90.00
Space group F-43m (No. 216)
One atom of each set of equivalent atoms:
1 Rb 0.0000 0.0000 0.0000 [4 per cell]
2 Cu 0.0000 0.0000 0.5000 [4 per cell]
3 Bi 0.2500 0.2500 0.2500 [4 per cell]
4 Au 0.2500 0.2500 0.7500 [4 per cell]

two) Density functional theory data (PBE-GGA) for a relaxed structure of RbCuBiAu.

Unit cell a=7.4571 b=7.4571 c=7.4571 alpha=90.00 beta=90.00 gamma=90.00
Space group F-43m (No. 216)
One atom of each set of equivalent atoms:
1 Rb 0.0000 0.0000 0.0000 [4 per cell]
2 Cu 0.2500 0.2500 0.2500 [4 per cell]
3 Bi 0.0000 0.0000 0.5000 [4 per cell]
4 Au 0.2500 0.2500 0.7500 [4 per cell]

The computed energies, referenced to the most stable structure and given in meV/atom, are one) 191; two) 0.

one) Density functional theory data (PBE-GGA) for a relaxed structure of CuReBiAu.

Unit cell a=6.5856 b=6.5856 c=6.5856 alpha=90.00 beta=90.00 gamma=90.00
Space group F-43m (No. 216)
One atom of each set of equivalent atoms:
1 Cu 0.0000 0.0000 0.0000 [4 per cell]
2 Re 0.0000 0.0000 0.5000 [4 per cell]
3 Bi 0.2500 0.2500 0.2500 [4 per cell]
4 Au 0.2500 0.2500 0.7500 [4 per cell]

The magnetization comes out at 0.00 μB/cell.

two) Density functional theory data (PBE-GGA) for a relaxed structure of CuReBiAu.

Unit cell a=6.7164 b=6.7164 c=6.7164 alpha=90.00 beta=90.00 gamma=90.00
Space group F-43m (No. 216)
One atom of each set of equivalent atoms:
1 Cu 0.0000 0.0000 0.0000 [4 per cell]
2 Re 0.2500 0.2500 0.7500 [4 per cell]
3 Bi 0.2500 0.2500 0.2500 [4 per cell]
4 Au 0.0000 0.0000 0.5000 [4 per cell]

The magnetization comes out at 9.95 μB/cell.

The computed energies, referenced to the most stable structure and given in meV/atom, are one) 0; two) 240.

one) Density functional theory data (PBE-GGA) for a relaxed structure of TaCuBiAu.

Unit cell a=6.7963 b=6.7963 c=6.7963 alpha=90.00 beta=90.00 gamma=90.00
Space group F-43m (No. 216)
One atom of each set of equivalent atoms:
1 Ta 0.0000 0.0000 0.0000 [4 per cell]
2 Cu 0.2500 0.2500 0.7500 [4 per cell]
3 Bi 0.0000 0.0000 0.5000 [4 per cell]
4 Au 0.2500 0.2500 0.2500 [4 per cell]

The magnetization comes out at 2.01 μB/cell.

two) Density functional theory data (PBE-GGA) for a relaxed structure of TaCuBiAu.

Unit cell a=6.7369 b=6.7369 c=6.7369 alpha=90.00 beta=90.00 gamma=90.00
Space group F-43m (No. 216)
One atom of each set of equivalent atoms:
1 Ta 0.0000 0.0000 0.0000 [4 per cell]
2 Cu 0.0000 0.0000 0.5000 [4 per cell]
3 Bi 0.2500 0.2500 0.2500 [4 per cell]
4 Au 0.2500 0.2500 0.7500 [4 per cell]

The magnetization comes out at 1.08 μB/cell.

The computed energies, referenced to the most stable structure and given in meV/atom, are one) 134; two) 0.

one) Density functional theory data (PBE-GGA) for a relaxed structure of CuTcBiAu.

Unit cell a=6.5663 b=6.5663 c=6.5663 alpha=90.00 beta=90.00 gamma=90.00
Space group F-43m (No. 216)
One atom of each set of equivalent atoms:
1 Cu 0.0000 0.0000 0.0000 [4 per cell]
2 Tc 0.0000 0.0000 0.5000 [4 per cell]
3 Bi 0.2500 0.2500 0.7500 [4 per cell]
4 Au 0.2500 0.2500 0.2500 [4 per cell]

The magnetization comes out at 0.08 μB/cell.

two) Density functional theory data (PBE-GGA) for a relaxed structure of CuTcBiAu.

Unit cell a=6.7342 b=6.7342 c=6.7342 alpha=90.00 beta=90.00 gamma=90.00
Space group F-43m (No. 216)
One atom of each set of equivalent atoms:
1 Cu 0.0000 0.0000 0.0000 [4 per cell]
2 Tc 0.2500 0.2500 0.2500 [4 per cell]
3 Bi 0.2500 0.2500 0.7500 [4 per cell]
4 Au 0.0000 0.0000 0.5000 [4 per cell]

The magnetization comes out at 10.79 μB/cell.

The computed energies, referenced to the most stable structure and given in meV/atom, are one) 0; two) 180.

one) Density functional theory data (PBE-GGA) for a relaxed structure of CuBiWAu.

Unit cell a=6.7628 b=6.7628 c=6.7628 alpha=90.00 beta=90.00 gamma=90.00
Space group F-43m (No. 216)
One atom of each set of equivalent atoms:
1 Cu 0.0000 0.0000 0.0000 [4 per cell]
2 Bi 0.2500 0.2500 0.2500 [4 per cell]
3 W 0.2500 0.2500 0.7500 [4 per cell]
4 Au 0.0000 0.0000 0.5000 [4 per cell]

The magnetization comes out at 10.94 μB/cell.

two) Density functional theory data (PBE-GGA) for a relaxed structure of CuBiWAu.

Unit cell a=6.6501 b=6.6501 c=6.6501 alpha=90.00 beta=90.00 gamma=90.00
Space group F-43m (No. 216)
One atom of each set of equivalent atoms:
1 Cu 0.0000 0.0000 0.0000 [4 per cell]
2 Bi 0.2500 0.2500 0.7500 [4 per cell]
3 W 0.0000 0.0000 0.5000 [4 per cell]
4 Au 0.2500 0.2500 0.2500 [4 per cell]

The magnetization comes out at 2.70 μB/cell.

The computed energies, referenced to the most stable structure and given in meV/atom, are one) 178; two) 0.